First-principles (PBE) data for crystalline Tl2Re at its relaxed geometry, as listed in the Alexandria database.

Results
M_tot ... 0.00 μB per formula unit
Total energy ... -5.137 eV per atom

a = 10.1536 Å, b = 3.2168 Å, c = 9.4561 Å
α = 90.00°, β = 100.33°, γ = 90.00°
Last column: nearest neighbours and their distance in Å.
Space group C2/m (No. 12)
One atom of each set of equivalent atoms:
Tl: 0.0566 0.0000 0.1764 x4  3 Re 2.81-2.97
Tl: 0.1448 0.5000 0.5971 x4  6 Tl 3.17-3.45, 2 Re 3.30
Re: 0.2234 0.0000 0.9059 x4  2 Re 2.39